First-principles (PBE) data for a relaxed LaPm2Pr2 crystal, as listed in Alexandria.

Results
Theoretical density = 6.63 g/cm3
Formation enthalpy at 0 K = 0.1034 eV/atom
Total DFT energy (no corrections) = -23.47 eV/cell
Crystal system = tetragonal

Cell: 4.362 4.362 9.855 Å, 102.79 102.79 90.00°
Atoms (fractional coordinates):
Pr 0.398 0.398 0.795
Pr 0.602 0.602 0.205
La 0.000 0.000 0.000
Pm 0.200 0.200 0.401
Pm 0.800 0.800 0.599



First-principles (PBE) data for a relaxed LaPm2Pr3 crystal, as listed in Alexandria.

Results
Theoretical density = 6.50 g/cm3
Formation enthalpy at 0 K = 0.2783 eV/atom
Total DFT energy (no corrections) = -27.10 eV/cell
Crystal system = orthorhombic

Cell: 3.548 6.111 10.634 Å, 106.70 99.60 90.00°
Atoms (fractional coordinates):
Pr 0.190 0.190 0.381
Pr 0.810 0.810 0.619
Pr 0.000 0.500 0.000
Pm 0.362 0.362 0.723
Pm 0.638 0.638 0.277
La 0.000 0.000 0.000



First-principles (PBE) data for a relaxed La2Pm4Pr3 crystal, as listed in Alexandria.

Results
Theoretical density = 6.55 g/cm3
Formation enthalpy at 0 K = 0.0598 eV/atom
Total DFT energy (no corrections) = -42.66 eV/cell
Crystal system = trigonal

Cell: 3.684 3.684 27.619 Å, 90.00 90.00 120.00°
Atoms (fractional coordinates):
Pm 0.667 0.333 0.436
Pm 0.000 0.000 0.541
Pm 0.000 0.000 0.760
Pm 0.667 0.333 0.218
Pr 0.000 0.000 0.323
Pr 0.000 0.000 0.984
Pr 0.667 0.333 0.652
La 0.667 0.333 0.093
La 0.667 0.333 0.870



First-principles (PBE) data for a relaxed La6Pm3Pr crystal, as listed in Alexandria.

Results
Theoretical density = 6.37 g/cm3
Formation enthalpy at 0 K = 0.1844 eV/atom
Total DFT energy (no corrections) = -46.75 eV/cell
Crystal system = trigonal

Cell: 10.181 10.181 7.161 Å, 44.69 44.69 60.00°
Atoms (fractional coordinates):
La 0.578 0.226 0.298
La 0.079 0.398 0.798
La 0.898 0.578 0.298
La 0.398 0.725 0.798
La 0.725 0.079 0.798
La 0.226 0.898 0.298
Pm 0.151 0.151 0.547
Pm 0.398 0.398 0.806
Pm 0.648 0.648 0.055
Pr 0.898 0.898 0.306



First-principles (PBE) data for a relaxed La5Pm2Pr2 crystal, as listed in Alexandria.

Results
Theoretical density = 6.46 g/cm3
Formation enthalpy at 0 K = 0.0166 eV/atom
Total DFT energy (no corrections) = -43.55 eV/cell
Crystal system = triclinic

Cell: 6.433 5.250 16.932 Å, 81.10 100.99 144.57°
Atoms (fractional coordinates):
Pr 0.332 0.998 0.668
Pr 0.668 0.002 0.332
La 0.777 0.999 0.556
La 0.223 0.001 0.444
La 0.443 0.999 0.889
La 0.557 0.001 0.111
La 0.000 0.000 0.000
Pm 0.886 0.998 0.777
Pm 0.114 0.002 0.223



First-principles (PBE) data for a relaxed La2Pm3Pr7 crystal, as listed in Alexandria.

Results
Theoretical density = 6.47 g/cm3
Formation enthalpy at 0 K = 0.0825 eV/atom
Total DFT energy (no corrections) = -56.57 eV/cell
Crystal system = monoclinic

Cell: 3.678 6.083 19.521 Å, 93.16 90.00 90.00°
Atoms (fractional coordinates):
Pr 0.000 0.319 0.856
Pr 0.000 0.681 0.144
Pr 0.500 0.817 0.823
Pr 0.500 0.183 0.177
Pr 0.500 0.743 0.464
Pr 0.500 0.257 0.536
Pr 0.000 0.000 0.000
La 0.500 0.703 0.297
La 0.500 0.297 0.703
Pm 0.500 0.500 0.000
Pm 0.000 0.214 0.369
Pm 0.000 0.786 0.631



First-principles (PBE) data for a relaxed La3Pm2Pr4 crystal, as listed in Alexandria.

Results
Theoretical density = 6.46 g/cm3
Formation enthalpy at 0 K = 0.0793 eV/atom
Total DFT energy (no corrections) = -42.69 eV/cell
Crystal system = monoclinic

Cell: 5.950 10.413 13.482 Å, 151.05 90.00 106.60°
Atoms (fractional coordinates):
Pr 0.143 0.285 0.913
Pr 0.278 0.556 0.598
Pr 0.722 0.444 0.402
Pr 0.857 0.715 0.087
La 0.431 0.861 0.546
La 0.000 0.000 0.000
La 0.569 0.139 0.454
Pm 0.265 0.529 0.830
Pm 0.735 0.471 0.170



First-principles (PBE) data for a relaxed La4Pm15Pr crystal, as listed in Alexandria.

Results
Theoretical density = 6.79 g/cm3
Formation enthalpy at 0 K = 0.0169 eV/atom
Total DFT energy (no corrections) = -95.41 eV/cell
Crystal system = tetragonal

Cell: 5.205 5.205 25.932 Å, 90.00 90.00 90.00°
Atoms (fractional coordinates):
Pm 0.500 0.000 0.900
Pm 0.500 0.000 0.300
Pm 0.000 0.500 0.700
Pm 0.500 0.500 0.400
Pm 0.500 0.500 0.200
Pm 0.000 0.500 0.100
Pm 0.500 0.500 0.600
Pm 0.500 0.500 0.800
Pm 0.500 0.000 0.500
Pm 0.500 0.000 0.700
Pm 0.000 0.500 0.900
Pm 0.000 0.500 0.500
Pm 0.000 0.500 0.300
Pm 0.500 0.000 0.100
Pm 0.500 0.500 0.000
Pr 0.000 0.000 0.000
La 0.000 0.000 0.600
La 0.000 0.000 0.400
La 0.000 0.000 0.800
La 0.000 0.000 0.200



First-principles (PBE) data for a relaxed La3Pm5Pr crystal, as listed in Alexandria.

Results
Theoretical density = 6.29 g/cm3
Formation enthalpy at 0 K = 0.3768 eV/atom
Total DFT energy (no corrections) = -79.85 eV/cell
Crystal system = monoclinic

Cell: 7.552 7.552 12.983 Å, 80.25 80.25 69.16°
Atoms (fractional coordinates):
Pm 0.560 0.560 0.376
Pm 0.262 0.262 0.969
Pm 0.055 0.671 0.776
Pm 0.684 0.316 0.000
Pm 0.671 0.055 0.776
Pm 0.738 0.738 0.031
Pm 0.316 0.684 0.000
Pm 0.440 0.440 0.624
Pm 0.945 0.329 0.224
Pm 0.329 0.945 0.224
Pr 0.863 0.863 0.266
Pr 0.137 0.137 0.734
La 0.000 0.000 0.500
La 0.604 0.604 0.790
La 0.273 0.273 0.465
La 0.000 0.000 0.000
La 0.727 0.727 0.535
La 0.396 0.396 0.210



First-principles (PBE) data for a relaxed La2Pm7Pr2 crystal, as listed in Alexandria.

Results
Theoretical density = 6.62 g/cm3
Formation enthalpy at 0 K = 0.1561 eV/atom
Total DFT energy (no corrections) = -50.95 eV/cell
Crystal system = orthorhombic

Cell: 3.665 11.078 11.078 Å, 63.55 80.48 80.48°
Atoms (fractional coordinates):
Pm 0.161 0.163 0.515
Pm 0.171 0.671 0.987
Pm 0.839 0.485 0.837
Pm 0.829 0.013 0.329
Pm 0.373 0.713 0.541
Pm 0.627 0.459 0.287
Pm 0.500 0.051 0.949
La 0.294 0.292 0.119
La 0.706 0.881 0.708
Pr 0.000 0.758 0.242
Pr 0.500 0.369 0.631



First-principles (PBE) data for a relaxed La6Pm3Pr2 crystal, as listed in Alexandria.

Results
Theoretical density = 6.12 g/cm3
Formation enthalpy at 0 K = 0.4161 eV/atom
Total DFT energy (no corrections) = -48.80 eV/cell
Crystal system = tetragonal

Cell: 6.015 6.015 12.374 Å, 104.07 104.07 90.00°
Atoms (fractional coordinates):
La 0.110 0.610 0.220
La 0.390 0.890 0.780
La 0.890 0.390 0.780
La 0.719 0.719 0.438
La 0.610 0.110 0.220
La 0.281 0.281 0.562
Pm 0.152 0.152 0.303
Pm 0.000 0.000 0.000
Pm 0.848 0.848 0.697
Pr 0.437 0.437 0.874
Pr 0.563 0.563 0.126



First-principles (PBE) data for a relaxed La2Pm7Pr3 crystal, as listed in Alexandria.

Results
Theoretical density = 6.69 g/cm3
Formation enthalpy at 0 K = 0.0696 eV/atom
Total DFT energy (no corrections) = -56.61 eV/cell
Crystal system = monoclinic

Cell: 3.622 6.542 18.544 Å, 75.86 90.00 90.00°
Atoms (fractional coordinates):
Pm 0.000 0.000 0.000
Pm 0.500 0.757 0.500
Pm 0.000 0.437 0.836
Pm 0.500 0.939 0.834
Pm 0.500 0.061 0.166
Pm 0.000 0.563 0.164
Pm 0.500 0.243 0.500
Pr 0.000 0.886 0.660
Pr 0.000 0.114 0.340
Pr 0.500 0.500 0.000
La 0.500 0.614 0.330
La 0.500 0.386 0.670



First-principles (PBE) data for a relaxed La5Pm3Pr2 crystal, as listed in Alexandria.

Results
Theoretical density = 6.35 g/cm3
Formation enthalpy at 0 K = 0.3456 eV/atom
Total DFT energy (no corrections) = -89.98 eV/cell
Crystal system = orthorhombic

Cell: 8.657 10.780 10.780 Å, 55.44 66.33 66.33°
Atoms (fractional coordinates):
La 0.632 0.275 0.462
La 0.750 0.500 0.500
La 0.005 0.745 0.745
La 0.505 0.745 0.745
La 0.132 0.462 0.275
La 0.368 0.725 0.538
La 0.868 0.538 0.725
La 0.250 0.500 0.500
La 0.995 0.255 0.255
La 0.495 0.255 0.255
Pm 0.750 0.000 0.000
Pm 0.378 0.365 0.879
Pm 0.122 0.121 0.635
Pm 0.622 0.635 0.121
Pm 0.250 0.000 0.000
Pm 0.878 0.879 0.365
Pr 0.122 0.764 0.992
Pr 0.622 0.992 0.764
Pr 0.378 0.008 0.236
Pr 0.878 0.236 0.008



First-principles (PBE) data for a relaxed LaPmPr2 crystal, as listed in Alexandria.

Results
Theoretical density = 6.49 g/cm3
Formation enthalpy at 0 K = 0.0160 eV/atom
Total DFT energy (no corrections) = -19.17 eV/cell
Crystal system = trigonal

Cell: 3.713 3.713 12.303 Å, 81.32 81.32 60.00°
Atoms (fractional coordinates):
La 0.500 0.500 0.501
Pr 0.082 0.082 0.755
Pr 0.252 0.252 0.245
Pm 0.667 0.667 0.000



First-principles (PBE) data for a relaxed La4PmPr3 crystal, as listed in Alexandria.

Results
Theoretical density = 6.37 g/cm3
Formation enthalpy at 0 K = 0.3201 eV/atom
Total DFT energy (no corrections) = -36.24 eV/cell
Crystal system = orthorhombic

Cell: 3.513 9.178 9.178 Å, 98.21 90.00 90.00°
Atoms (fractional coordinates):
Pr 0.500 0.500 0.500
Pr 0.000 0.500 0.000
Pr 0.000 0.000 0.500
Pm 0.500 0.000 0.000
La 0.000 0.249 0.249
La 0.000 0.751 0.751
La 0.500 0.752 0.248
La 0.500 0.248 0.752



First-principles (PBE) data for a relaxed La2Pm3Pr2 crystal, as listed in Alexandria.

Results
Theoretical density = 6.59 g/cm3
Formation enthalpy at 0 K = 0.1065 eV/atom
Total DFT energy (no corrections) = -32.92 eV/cell
Crystal system = monoclinic

Cell: 3.568 9.038 8.863 Å, 115.94 101.61 90.00°
Atoms (fractional coordinates):
Pm 0.000 0.500 0.000
Pm 0.779 0.354 0.557
Pm 0.221 0.646 0.443
Pr 0.361 0.094 0.722
Pr 0.639 0.906 0.278
La 0.078 0.205 0.156
La 0.922 0.795 0.844



First-principles (PBE) data for a relaxed La4Pm4Pr3 crystal, as listed in Alexandria.

Results
Theoretical density = 6.38 g/cm3
Formation enthalpy at 0 K = 0.1204 eV/atom
Total DFT energy (no corrections) = -51.73 eV/cell
Crystal system = orthorhombic

Cell: 3.666 9.710 12.515 Å, 112.83 98.42 90.00°
Atoms (fractional coordinates):
Pr 0.107 0.107 0.214
Pr 0.000 0.500 0.000
Pr 0.893 0.893 0.786
La 0.354 0.183 0.708
La 0.646 0.817 0.292
La 0.354 0.525 0.708
La 0.646 0.475 0.292
Pm 0.500 0.814 0.000
Pm 0.262 0.762 0.525
Pm 0.738 0.238 0.475
Pm 0.500 0.186 0.000



First-principles (PBE) data for a relaxed La4PmPr10 crystal, as listed in Alexandria.

Results
Theoretical density = 6.36 g/cm3
Formation enthalpy at 0 K = 0.2712 eV/atom
Total DFT energy (no corrections) = -68.19 eV/cell
Crystal system = tetragonal

Cell: 10.758 8.951 8.951 Å, 68.83 53.07 53.07°
Atoms (fractional coordinates):
Pr 0.250 0.500 0.500
Pr 0.222 0.321 0.913
Pr 0.457 0.679 0.087
Pr 0.457 0.087 0.321
Pr 0.543 0.913 0.679
Pr 0.136 0.087 0.321
Pr 0.543 0.321 0.913
Pr 0.750 0.500 0.500
Pr 0.778 0.679 0.087
Pr 0.864 0.913 0.679
Pm 0.000 0.000 0.000
La 0.673 0.273 0.381
La 0.946 0.381 0.727
La 0.327 0.727 0.619
La 0.054 0.619 0.273



First-principles (PBE) data for a relaxed La5Pm4Pr2 crystal, as listed in Alexandria.

Results
Theoretical density = 6.53 g/cm3
Formation enthalpy at 0 K = 0.1169 eV/atom
Total DFT energy (no corrections) = -51.91 eV/cell
Crystal system = monoclinic

Cell: 3.552 9.086 12.474 Å, 96.50 98.18 90.00°
Atoms (fractional coordinates):
La 0.860 0.886 0.720
La 0.140 0.114 0.280
La 0.769 0.176 0.537
La 0.231 0.824 0.463
La 0.500 0.000 0.000
Pm 0.678 0.472 0.356
Pm 0.046 0.363 0.093
Pm 0.322 0.528 0.644
Pm 0.954 0.637 0.907
Pr 0.092 0.729 0.183
Pr 0.908 0.271 0.817



First-principles (PBE) data for a relaxed La5Pm3Pr2 crystal, as listed in Alexandria.

Results
Theoretical density = 6.44 g/cm3
Formation enthalpy at 0 K = 0.1453 eV/atom
Total DFT energy (no corrections) = -93.99 eV/cell
Crystal system = monoclinic

Cell: 10.350 10.334 11.440 Å, 129.50 129.53 65.94°
Atoms (fractional coordinates):
Pm 0.233 0.983 0.965
Pm 0.722 0.472 0.249
Pm 0.278 0.528 0.751
Pm 0.767 0.017 0.035
Pm 0.973 0.223 0.751
Pm 0.027 0.777 0.249
Pr 0.471 0.721 0.753
Pr 0.529 0.279 0.247
Pr 0.218 0.968 0.247
Pr 0.782 0.032 0.753
La 0.026 0.776 0.551
La 0.726 0.476 0.953
La 0.274 0.524 0.047
La 0.482 0.732 0.463
La 0.119 0.371 0.246
La 0.881 0.629 0.754
La 0.518 0.268 0.537
La 0.974 0.224 0.449
La 0.374 0.125 0.754
La 0.626 0.875 0.246



First-principles (PBE) data for a relaxed La6Pm5Pr crystal, as listed in Alexandria.

Results
Theoretical density = 6.55 g/cm3
Formation enthalpy at 0 K = 0.0168 eV/atom
Total DFT energy (no corrections) = -57.90 eV/cell
Crystal system = orthorhombic

Cell: 5.255 9.800 9.800 Å, 107.07 105.56 105.56°
Atoms (fractional coordinates):
La 0.750 0.583 0.916
La 0.249 0.749 0.749
La 0.250 0.417 0.084
La 0.750 0.916 0.583
La 0.250 0.084 0.417
La 0.751 0.251 0.251
Pm 0.500 0.500 0.500
Pm 0.500 0.167 0.833
Pm 0.000 0.333 0.667
Pm 0.500 0.833 0.167
Pm 0.000 0.667 0.333
Pr 0.000 0.000 0.000